AlAsW2 | PBE | relaxed

Computed properties:
- energy relative to the elements (meV per atom) = 324
- V (Å³ per cell) = 63.2
- total magnetization (μB/cell) = 0.000
- E (eV per atom) = -8.251
- relative energy among the computed polymorphs (meV per atom) = 361.5

Cell: 3.237 4.574 4.266 Å, 90.00 90.00 90.00°
Element x y z (fractional)
As  0.000  0.500  0.500
Al  0.500  0.000  0.500
W  0.000  0.000  0.000
W  0.500  0.500  0.000